# 1
A geometry-optimized H3S structure, computed with GGA-PBEsol.

Results
Its uncorrected energy is -24.3 eV/cell. Its density of states at the Fermi level is 1.4 states/eV/cell.

Cell lengths 3.5819, 3.5819, 3.5819 Å; angles 90.00, 90.00, 90.00 degrees
Element x y z (fractional)
H 0.0000 0.0000 0.5000
H 0.0000 0.5000 0.0000
H 0.0000 0.5000 0.5000
H 0.5000 0.0000 0.0000
H 0.5000 0.0000 0.5000
H 0.5000 0.5000 0.0000
S 0.0000 0.0000 0.0000
S 0.5000 0.5000 0.5000

=====

# 2
A geometry-optimized Zn7Si structure, computed with GGA-PBEsol.

Results
Its energy relative to the elements, uncorrected is 0.079 eV/atom. Its uncorrected energy is -16.2 eV/cell. Its density of states at the Fermi level is 1.1 states/eV/cell.

Cell lengths 5.4425, 5.4425, 5.4425 Å; angles 60.00, 60.00, 60.00 degrees
Element x y z (fractional)
Zn 0.0000 0.0000 0.0000
Zn 0.0000 0.0000 0.5000
Zn 0.0000 0.5000 0.0000
Zn 0.0000 0.5000 0.5000
Zn 0.5000 0.0000 0.0000
Zn 0.5000 0.0000 0.5000
Zn 0.5000 0.5000 0.0000
Si 0.5000 0.5000 0.5000

=====

# 3
A geometry-optimized Zr2CuRe structure, computed with GGA-PBEsol.

Results
For the energy relative to the elements, the calculation gives -21.8 kJ/mol of atoms. Its uncorrected energy is -36.7 eV/cell. Its density of states at the Fermi level is 3.1 states/eV/cell.

Cell lengths 3.2954, 3.2954, 6.3339 Å; angles 90.00, 90.00, 90.00 degrees
Element x y z (fractional)
Zr 0.0000 0.0000 0.2468
Zr 0.0000 0.0000 0.7532
Cu 0.5000 0.5000 0.5000
Re 0.5000 0.5000 0.0000

=====

# 4
A geometry-optimized La2TiAu structure, computed with GGA-PBEsol.

Results
For the energy relative to the elements, the calculation gives -4.5 kJ/mol of atoms. Its uncorrected energy is -92.5 eV/cell. Its density of states at the Fermi level is 22.6 states/eV/cell.

Cell lengths 7.4034, 7.4034, 7.4034 Å; angles 90.00, 90.00, 90.00 degrees
Element x y z (fractional)
La 0.2500 0.2500 0.2500
La 0.2500 0.2500 0.7500
La 0.2500 0.7500 0.2500
La 0.2500 0.7500 0.7500
La 0.7500 0.2500 0.2500
La 0.7500 0.2500 0.7500
La 0.7500 0.7500 0.2500
La 0.7500 0.7500 0.7500
Ti 0.0000 0.0000 0.0000
Ti 0.0000 0.5000 0.5000
Ti 0.5000 0.0000 0.5000
Ti 0.5000 0.5000 0.0000
Au 0.0000 0.0000 0.5000
Au 0.0000 0.5000 0.0000
Au 0.5000 0.0000 0.0000
Au 0.5000 0.5000 0.5000